Computed, not measured: an optimized crystal structure of Sc3Cd2Ag8 at the PBE level of DFT.

a b c (Å): 5.433 5.433 11.038
angles (deg): 75.75 75.75 60.00
Positions (direct):
Ag  0.277  0.277  0.170
Ag  0.729  0.729  0.315
Ag  0.729  0.227  0.315
Ag  0.271  0.773  0.685
Ag  0.723  0.723  0.830
Ag  0.773  0.271  0.685
Ag  0.227  0.729  0.315
Ag  0.271  0.271  0.685
Sc  0.814  0.814  0.559
Sc  0.186  0.186  0.441
Sc  0.000  0.000  0.000
Cd  0.362  0.362  0.913
Cd  0.638  0.638  0.087

As for the mass density: 7.51 g/cm3. The calculation puts the formation energy from the elements at 0.00 eV per atom. The crystal system is trigonal.